Material: La6CdIr2
Method: DFT, PBE-GGA
State: relaxed

The final energy comes out at -104.17 eV for the cell shown. As for the crystal system: monoclinic. Its total magnetic moment is 0.00 μB per cell. The calculation puts the excess energy over the best structure of this formula in the dataset at 0.54 kcal/mol of atoms.

It has space group C2/m (No. 12), with a = 10.5806 Å, b = 5.3059 Å, c = 9.6129 Å, α = 90.00°, β = 98.50° and γ = 90.00°. The distinct sites, in fractional coordinates, are La at (0.0702, 0.0000, 0.3509), La at (0.1161, 0.5000, 0.6585), La at (0.1930, 0.5000, 0.1109), Cd at (0.0000, 0.0000, 0.0000) and Ir at (0.2301, 0.5000, 0.3873).



Material: LaTcRu2
Method: DFT, PBE-GGA
State: relaxed

The final energy comes out at -64.44 eV for the cell shown. As for the crystal system: tetragonal. Its total magnetic moment is 0.00 μB per cell. The calculation puts the excess energy over the best structure of this formula in the dataset at 6.26 kcal/mol of atoms.

It has space group I4/mmm (No. 139), with a = 4.4110 Å, b = 4.4110 Å, c = 7.2374 Å, α = 90.00°, β = 90.00° and γ = 90.00°. The distinct sites, in fractional coordinates, are La at (0.0000, 0.0000, 0.0000), Tc at (0.0000, 0.0000, 0.5000) and Ru at (0.0000, 0.5000, 0.2500).



Material: Dy4Tl3Sn
Method: DFT, PBE-GGA
State: relaxed

The final energy comes out at -65.50 eV for the cell shown. As for the crystal system: orthorhombic. Its total magnetic moment is 0.00 μB per cell.

It has space group Pmma (No. 51), with a = 10.8726 Å, b = 7.2810 Å, c = 5.4743 Å, α = 90.00°, β = 90.00° and γ = 90.00°. The distinct sites, in fractional coordinates, are Dy at (0.0000, 0.2492, 0.0000), Dy at (0.2500, 0.2490, 0.4556), Tl at (0.0000, 0.5000, 0.5000), Tl at (0.2500, 0.0000, 0.9520), Tl at (0.2500, 0.5000, 0.9506) and Sn at (0.0000, 0.0000, 0.5000).



Material: HoZn2Pd
Method: DFT, PBE-GGA
State: relaxed

The final energy comes out at -14.04 eV for the cell shown. As for the crystal system: tetragonal. Its total magnetic moment is 0.06 μB per cell.

It has space group P4/mmm (No. 123), with a = 3.3376 Å, b = 3.3376 Å, c = 6.5281 Å, α = 90.00°, β = 90.00° and γ = 90.00°. The distinct sites, in fractional coordinates, are Ho at (0.0000, 0.0000, 0.0000), Zn at (0.5000, 0.5000, 0.2989) and Pd at (0.0000, 0.0000, 0.5000).